A plane-wave DFT calculation with PBE was carried out for a relaxed structure of Lu2W4C3S3.

Cell and atoms, written as CIF:
```
data_Lu2W4C3S3
_chemical_formula_sum 'Lu8 W16 C12 S12'
_cell_length_a 9.969
_cell_length_b 5.803
_cell_length_c 12.142
_cell_angle_alpha 90.00
_cell_angle_beta 104.55
_cell_angle_gamma 90.00
_symmetry_space_group_name_H-M 'C 1 2/c 1'
_symmetry_Int_Tables_number 15
loop_
_symmetry_equiv_pos_as_xyz
'x,y,z'
'-x,-y,-z'
'-x,y,-z+1/2'
'x,-y,z+1/2'
'x+1/2,y+1/2,z'
'-x+1/2,-y+1/2,-z'
'-x+1/2,y+1/2,-z+1/2'
'x+1/2,-y+1/2,z+1/2'
loop_
_atom_site_label
_atom_site_fract_x
_atom_site_fract_y
_atom_site_fract_z
Lu1 0.044 0.080 0.387
W1 0.108 0.411 0.584
W2 0.226 0.423 0.918
C1 0.087 0.257 0.001
C2 0.250 0.250 0.500
S1 0.000 0.449 0.250
S2 0.183 0.104 0.746
```

**V**: 170 Å³/f.u.



A plane-wave DFT calculation with PBE was carried out for a relaxed structure of Lu4Zr2C3S3.

Cell and atoms, written as CIF:
```
data_Lu4Zr2C3S3
_chemical_formula_sum 'Lu16 Zr8 C12 S12'
_cell_length_a 10.607
_cell_length_b 6.126
_cell_length_c 12.923
_cell_angle_alpha 90.00
_cell_angle_beta 105.93
_cell_angle_gamma 90.00
_symmetry_space_group_name_H-M 'C 1 2/c 1'
_symmetry_Int_Tables_number 15
loop_
_symmetry_equiv_pos_as_xyz
'x,y,z'
'-x,-y,-z'
'-x,y,-z+1/2'
'x,-y,z+1/2'
'x+1/2,y+1/2,z'
'-x+1/2,-y+1/2,-z'
'-x+1/2,y+1/2,-z+1/2'
'x+1/2,-y+1/2,z+1/2'
loop_
_atom_site_label
_atom_site_fract_x
_atom_site_fract_y
_atom_site_fract_z
Lu1 0.119 0.081 0.106
Lu2 0.213 0.085 0.394
Zr1 0.053 0.415 0.903
C1 0.079 0.263 0.500
C2 0.250 0.250 0.000
S1 0.000 0.091 0.750
S2 0.163 0.421 0.250
```

**V**: 202 Å³/f.u.



A plane-wave DFT calculation with PBE was carried out for a relaxed structure of Lu3ZrC2S2.

Cell and atoms, written as CIF:
```
data_Lu3ZrC2S2
_chemical_formula_sum 'Lu3 Zr1 C2 S2'
_cell_length_a 3.5533
_cell_length_b 3.5533
_cell_length_c 12.4582
_cell_angle_alpha 90.00
_cell_angle_beta 90.00
_cell_angle_gamma 120.00
_symmetry_space_group_name_H-M 'P 3 m 1'
_symmetry_Int_Tables_number 156
loop_
_symmetry_equiv_pos_as_xyz
'x,y,z'
'-y,x-y,z'
'-x+y,-x,z'
'-y,-x,z'
'-x+y,y,z'
'x,x-y,z'
loop_
_atom_site_label
_atom_site_fract_x
_atom_site_fract_y
_atom_site_fract_z
Lu1 0.0000 0.0000 0.0000
Lu2 0.0000 0.0000 0.2949
Lu3 0.3333 0.6667 0.7927
Zr1 0.3333 0.6667 0.4985
C1 0.6667 0.3333 0.4032
C2 0.6667 0.3333 0.8949
S1 0.0000 0.0000 0.6400
S2 0.3333 0.6667 0.1487
```

**V**: 136 Å³/f.u.



A plane-wave DFT calculation with PBE was carried out for a relaxed structure of Lu3SbC2.

Cell and atoms, written as CIF:
```
data_Lu3SbC2
_chemical_formula_sum 'Lu6 Sb2 C4'
_cell_length_a 3.5146
_cell_length_b 3.5146
_cell_length_c 21.1422
_cell_angle_alpha 90.00
_cell_angle_beta 90.00
_cell_angle_gamma 120.00
_symmetry_space_group_name_H-M 'P 63/m m c'
_symmetry_Int_Tables_number 194
_symmetry_space_group_name_Hall '-P 6c 2c'
loop_
_atom_site_label
_atom_site_fract_x
_atom_site_fract_y
_atom_site_fract_z
Lu1 0.0000 0.0000 0.0000
Lu2 0.3333 0.6667 0.1272
Sb1 0.0000 0.0000 0.2500
C1 0.3333 0.6667 0.5719
```

**V**: 113 Å³/f.u.



A plane-wave DFT calculation with PBE was carried out for a relaxed structure of Lu2Sc4Sb3C3.

Cell and atoms, written as CIF:
```
data_Lu2Sc4Sb3C3
_chemical_formula_sum 'Lu8 Sc16 Sb12 C12'
_cell_length_a 10.403
_cell_length_b 6.006
_cell_length_c 14.910
_cell_angle_alpha 90.00
_cell_angle_beta 103.47
_cell_angle_gamma 90.00
_symmetry_space_group_name_H-M 'C 1 2/c 1'
_symmetry_Int_Tables_number 15
loop_
_symmetry_equiv_pos_as_xyz
'x,y,z'
'-x,-y,-z'
'-x,y,-z+1/2'
'x,-y,z+1/2'
'x+1/2,y+1/2,z'
'-x+1/2,-y+1/2,-z'
'-x+1/2,y+1/2,-z+1/2'
'x+1/2,-y+1/2,z+1/2'
loop_
_atom_site_label
_atom_site_fract_x
_atom_site_fract_y
_atom_site_fract_z
Lu1 0.053 0.083 0.410
Sc1 0.111 0.416 0.581
Sc2 0.223 0.417 0.919
Sb1 0.000 0.445 0.250
Sb2 0.180 0.097 0.750
C1 0.085 0.255 0.000
C2 0.250 0.250 0.500
```

**V**: 226 Å³/f.u.



A plane-wave DFT calculation with PBE was carried out for a relaxed structure of LuSc3Sb2C2.

Cell and atoms, written as CIF:
```
data_LuSc3Sb2C2
_chemical_formula_sum 'Lu1 Sc3 Sb2 C2'
_cell_length_a 3.4514
_cell_length_b 3.4514
_cell_length_c 14.4790
_cell_angle_alpha 90.00
_cell_angle_beta 90.00
_cell_angle_gamma 120.00
_symmetry_space_group_name_H-M 'P 3 m 1'
_symmetry_Int_Tables_number 156
loop_
_symmetry_equiv_pos_as_xyz
'x,y,z'
'-y,x-y,z'
'-x+y,-x,z'
'-y,-x,z'
'-x+y,y,z'
'x,x-y,z'
loop_
_atom_site_label
_atom_site_fract_x
_atom_site_fract_y
_atom_site_fract_z
Lu1 0.0000 0.0000 0.0000
Sc1 0.0000 0.0000 0.6652
Sc2 0.3333 0.6667 0.1716
Sc3 0.3333 0.6667 0.5010
Sb1 0.0000 0.0000 0.3365
Sb2 0.3333 0.6667 0.8283
C1 0.6667 0.3333 0.0892
C2 0.6667 0.3333 0.5833
```

**V**: 149 Å³/f.u.



A plane-wave DFT calculation with PBE was carried out for a relaxed structure of LuScSbC.

Cell and atoms, written as CIF:
```
data_LuScSbC
_chemical_formula_sum 'Lu2 Sc2 Sb2 C2'
_cell_length_a 3.4887
_cell_length_b 3.4887
_cell_length_c 14.6052
_cell_angle_alpha 90.00
_cell_angle_beta 90.00
_cell_angle_gamma 120.00
_symmetry_space_group_name_H-M 'P -6 m 2'
_symmetry_Int_Tables_number 187
_symmetry_space_group_name_Hall 'P -6 2'
loop_
_atom_site_label
_atom_site_fract_x
_atom_site_fract_y
_atom_site_fract_z
Lu1 0.0000 0.0000 0.1697
Sc1 0.3333 0.6667 0.3389
Sb1 0.0000 0.0000 0.5000
Sb2 0.3333 0.6667 0.0000
C1 0.6667 0.3333 0.2573
```

**V**: 77 Å³/f.u.
**Energy relative to the lowest polymorph listed for this composition**: 0.001 eV per atom



A plane-wave DFT calculation with PBE was carried out for a relaxed structure of LuScSbC.

Cell and atoms, written as CIF:
```
data_LuScSbC
_chemical_formula_sum 'Lu2 Sc2 Sb2 C2'
_cell_length_a 3.4893
_cell_length_b 3.4893
_cell_length_c 14.6040
_cell_angle_alpha 90.00
_cell_angle_beta 90.00
_cell_angle_gamma 120.00
_symmetry_space_group_name_H-M 'P -3 m 1'
_symmetry_Int_Tables_number 164
_symmetry_space_group_name_Hall '-P 3 2"'
loop_
_atom_site_label
_atom_site_fract_x
_atom_site_fract_y
_atom_site_fract_z
Lu1 0.3333 0.6667 0.0881
Sc1 0.3333 0.6667 0.4190
Sb1 0.3333 0.6667 0.7425
C1 0.0000 0.0000 0.0000
C2 0.0000 0.0000 0.5000
```

**V**: 77 Å³/f.u.
**Energy relative to the lowest polymorph listed for this composition**: 0.002 eV per atom



So what do the calculations give for calculated total energy? Going down the list: -8.882 -7.595 -7.415 -6.564 -6.932 -7.005 -6.766 -6.764 eV/atom.